1.
{"formula": "C", "functional": "meta-GGA SCAN", "state": "single point on PBEsol structure", "cell": [[-1.5872, 0.3456, -1.8492], [1.9114, -1.5239, -0.2873], [-3.9687, -5.4288, 2.3916]], "species": ["C", "C", "C", "C"], "fractional_positions": [[0.3333, 0.6667, 0.7500], [0.0000, 0.0000, 0.2500], [0.6667, 0.3333, 0.2500], [0.0000, 0.0000, 0.7500]], "e_form_ev_per_atom": 0.0000, "crystal_system": "hexagonal", "final_energy_ha_per_atom": -0.37116}

=====

2.
{"formula": "C", "functional": "meta-GGA SCAN", "state": "single point on PBEsol structure", "cell": [[2.4614, 0.0000, 0.0000], [1.2307, 2.1316, 0.0000], [1.2307, 0.7105, 3.5209]], "species": ["C", "C"], "fractional_positions": [[0.8334, 0.8334, 0.4998], [0.1666, 0.1666, 0.5002]], "e_form_ev_per_atom": 0.0005, "crystal_system": "trigonal", "n_ef_per_ev_cell": 0.00, "final_energy_ha_per_atom": -0.37114}

=====

3.
{"formula": "CaC3", "functional": "meta-GGA SCAN", "state": "single point on PBEsol structure", "cell": [[-2.4325, -1.2727, 0.3143], [2.0058, -0.0261, 3.2709], [-1.6889, 3.4906, 1.0636]], "species": ["Ca", "C", "C", "C"], "fractional_positions": [[0.0000, 0.0000, 0.0000], [0.3073, 0.6147, 0.5000], [0.6927, 0.3853, 0.5000], [0.5000, 0.0000, 0.5000]], "e_form_ev_per_atom": 0.5057, "crystal_system": "orthorhombic", "n_ef_per_ev_cell": 0.68, "final_energy_ha_per_atom": -0.34857}

=====

4.
{"formula": "Ca4C3", "functional": "meta-GGA SCAN", "state": "single point on PBEsol structure", "cell": [[-4.7157, -2.0602, -0.5136], [2.1222, -4.6133, -0.9797], [-0.0679, -1.1041, 5.0519]], "species": ["C", "Ca", "Ca", "C", "Ca", "C", "Ca"], "fractional_positions": [[0.5000, 0.0000, 0.0000], [0.0000, 0.0000, 0.0000], [0.5000, 0.5000, 0.0000], [0.0000, 0.5000, 0.0000], [0.5000, 0.0000, 0.5000], [0.0000, 0.0000, 0.5000], [0.0000, 0.5000, 0.5000]], "e_form_ev_per_atom": 0.7249, "crystal_system": "cubic", "n_ef_per_ev_cell": 3.79, "final_energy_ha_per_atom": -0.33536}

=====

5.
{"formula": "CaC3", "functional": "meta-GGA SCAN", "state": "single point on PBEsol structure", "cell": [[3.4549, 0.0000, 0.0000], [0.0000, 3.4549, 0.0000], [-1.7274, -1.7274, 3.5152]], "species": ["Ca", "C", "C", "C"], "fractional_positions": [[0.0000, 0.0000, 0.0000], [0.5000, 0.5000, 0.0000], [0.7500, 0.2500, 0.5000], [0.2500, 0.7500, 0.5000]], "e_form_ev_per_atom": 2.8426, "crystal_system": "tetragonal", "n_ef_per_ev_cell": 1.45, "final_energy_ha_per_atom": -0.26269}

=====

6.
{"formula": "CaC", "functional": "meta-GGA SCAN", "state": "single point on PBEsol structure", "cell": [[3.9267, 0.0000, 0.0000], [0.0000, 5.2212, 0.0342], [0.0000, -1.2176, 5.0774]], "species": ["C", "Ca", "Ca", "C", "C", "Ca"], "fractional_positions": [[0.0000, 0.3227, 0.3227], [0.5000, 0.3607, 0.7719], [0.5000, 0.7719, 0.3607], [0.0000, 0.1379, 0.4666], [0.0000, 0.4666, 0.1379], [0.0000, 0.9401, 0.9401]], "e_form_ev_per_atom": 0.0178, "crystal_system": "orthorhombic", "n_ef_per_ev_cell": 0.05, "final_energy_ha_per_atom": -0.36249}

=====

7.
{"formula": "CaC2", "functional": "meta-GGA SCAN", "state": "single point on PBEsol structure", "cell": [[3.8498, 0.0241, -0.0081], [1.6517, 3.4775, -0.0081], [1.7570, 1.1183, 7.0097]], "species": ["Ca", "C", "C", "Ca", "C", "C"], "fractional_positions": [[0.1710, 0.8290, 0.7500], [0.5765, 0.8556, 0.0610], [0.1444, 0.4235, 0.4390], [0.8290, 0.1710, 0.2500], [0.8556, 0.5765, 0.5610], [0.4235, 0.1444, 0.9390]], "e_form_ev_per_atom": -0.1161, "crystal_system": "monoclinic", "n_ef_per_ev_cell": 0.00, "final_energy_ha_per_atom": -0.37008}

=====

8.
{"formula": "CaC4", "functional": "meta-GGA SCAN", "state": "single point on PBEsol structure", "cell": [[-2.1352, 1.9570, -2.0180], [-2.5859, -0.3736, 2.3738], [1.2153, 3.2123, 1.8294]], "species": ["C", "C", "C", "Ca", "C"], "fractional_positions": [[0.7977, 0.5000, 0.0000], [0.5000, 0.2023, 0.0000], [0.2023, 0.5000, 0.0000], [0.0000, 0.0000, 0.5000], [0.5000, 0.7977, 0.0000]], "e_form_ev_per_atom": 0.2975, "crystal_system": "tetragonal", "n_ef_per_ev_cell": 1.26, "final_energy_ha_per_atom": -0.35702}

=====

9.
{"formula": "CaC", "functional": "meta-GGA SCAN", "state": "single point on PBEsol structure", "cell": [[3.3220, 0.0000, 0.0000], [0.0000, 6.5390, 0.0000], [0.0000, -3.2695, 5.6630]], "species": ["Ca", "C", "C", "Ca", "Ca", "C"], "fractional_positions": [[0.0000, 0.0000, 0.5000], [0.5000, 0.3333, 0.6667], [0.0000, 0.0000, 0.0000], [0.0000, 0.5000, 0.0000], [0.0000, 0.5000, 0.5000], [0.5000, 0.6667, 0.3333]], "e_form_ev_per_atom": 1.4027, "crystal_system": "hexagonal", "n_ef_per_ev_cell": 2.90, "final_energy_ha_per_atom": -0.31159}

=====

10.
{"formula": "CaC2", "functional": "meta-GGA SCAN", "state": "single point on PBEsol structure", "cell": [[3.7367, 0.0000, 0.0000], [0.0000, 4.8523, 0.0000], [0.0000, 0.0000, 5.2674]], "species": ["Ca", "C", "C", "C", "Ca", "C"], "fractional_positions": [[0.0000, 0.0000, 0.0000], [0.0000, 0.8703, 0.4998], [0.0000, 0.1297, 0.5002], [0.5000, 0.6297, 0.9998], [0.5000, 0.5000, 0.5000], [0.5000, 0.3703, 0.0002]], "e_form_ev_per_atom": -0.1076, "crystal_system": "orthorhombic", "n_ef_per_ev_cell": 0.00, "final_energy_ha_per_atom": -0.36977}

=====

11.
{"formula": "CaC3", "functional": "meta-GGA SCAN", "state": "single point on PBEsol structure", "cell": [[-0.6755, 4.4707, 0.8994], [-4.2427, -3.0966, 0.3912], [1.0495, -0.8221, 4.8746]], "species": ["C", "Ca", "Ca", "C", "C", "C", "C", "C"], "fractional_positions": [[0.9529, 0.2102, 0.7500], [0.6427, 0.2854, 0.2500], [0.3573, 0.7146, 0.7500], [0.0281, 0.0562, 0.2500], [0.7426, 0.7898, 0.2500], [0.2574, 0.2102, 0.7500], [0.0471, 0.7898, 0.2500], [0.9719, 0.9438, 0.7500]], "e_form_ev_per_atom": 0.8667, "crystal_system": "orthorhombic", "final_energy_ha_per_atom": -0.33530}

=====

12.
{"formula": "CaC3", "functional": "meta-GGA SCAN", "state": "single point on PBEsol structure", "cell": [[3.4532, 0.0000, 0.0000], [0.0000, 3.4532, 0.0000], [0.0000, 0.0000, 3.4532]], "species": ["Ca", "C", "C", "C"], "fractional_positions": [[0.0000, 0.0000, 0.0000], [0.5000, 0.0000, 0.5000], [0.5000, 0.5000, 0.0000], [0.0000, 0.5000, 0.5000]], "e_form_ev_per_atom": 2.7568, "crystal_system": "cubic", "n_ef_per_ev_cell": 0.95, "final_energy_ha_per_atom": -0.26584}

=====

13.
{"formula": "CaC2", "functional": "meta-GGA SCAN", "state": "single point on PBEsol structure", "cell": [[4.0810, 0.0000, 0.0000], [-2.0405, 3.5343, 0.0000], [0.0000, 0.0000, 5.0600]], "species": ["Ca", "Ca", "C", "C", "C", "C"], "fractional_positions": [[0.6667, 0.3333, 0.2500], [0.3333, 0.6667, 0.7500], [0.6667, 0.3333, 0.7500], [0.0000, 0.0000, 0.5000], [0.3333, 0.6667, 0.2500], [0.0000, 0.0000, 0.0000]], "e_form_ev_per_atom": 2.2259, "crystal_system": "hexagonal", "n_ef_per_ev_cell": 2.09, "final_energy_ha_per_atom": -0.28401}

=====

14.
{"formula": "CaC2", "functional": "meta-GGA SCAN", "state": "single point on PBEsol structure", "cell": [[-3.1519, -2.3577, -0.7464], [1.5644, -2.5567, -2.6583], [1.3121, -3.6091, 3.6126]], "species": ["C", "Ca", "C", "C", "Ca", "C"], "fractional_positions": [[0.5807, 0.5807, 0.4036], [0.1762, 0.1762, 0.2342], [0.2312, 0.2312, 0.7411], [0.4193, 0.4193, 0.5964], [0.8238, 0.8238, 0.7658], [0.7688, 0.7688, 0.2589]], "e_form_ev_per_atom": 0.0072, "crystal_system": "monoclinic", "n_ef_per_ev_cell": 1.85, "final_energy_ha_per_atom": -0.36555}

=====

15.
{"formula": "CaC2", "functional": "meta-GGA SCAN", "state": "single point on PBEsol structure", "cell": [[3.7999, 0.0000, 0.0000], [-1.8999, 3.2908, 0.0000], [0.0000, 0.0000, 7.9474]], "species": ["C", "C", "C", "C", "Ca", "Ca"], "fractional_positions": [[0.3333, 0.6667, 0.8290], [0.6667, 0.3333, 0.3290], [0.6667, 0.3333, 0.1710], [0.3333, 0.6667, 0.6710], [0.0000, 0.0000, 0.0000], [0.0000, 0.0000, 0.5000]], "e_form_ev_per_atom": -0.0466, "crystal_system": "hexagonal", "n_ef_per_ev_cell": 0.00, "final_energy_ha_per_atom": -0.36753}

=====

16.
{"formula": "Ca2C3", "functional": "meta-GGA SCAN", "state": "single point on PBEsol structure", "cell": [[-2.5587, -2.7334, -0.7626], [-2.2106, -2.1154, 5.4270], [-6.3213, 3.4068, -0.5744]], "species": ["Ca", "Ca", "C", "C", "C", "Ca", "Ca", "C", "C", "C"], "fractional_positions": [[0.8295, 0.4160, 0.8153], [0.9955, 0.0840, 0.3153], [0.5489, 0.7763, 0.0147], [0.3399, 0.2237, 0.9853], [0.0751, 0.7237, 0.5147], [0.0608, 0.5840, 0.1847], [0.3948, 0.9160, 0.6847], [0.4710, 0.0000, 0.0000], [0.2210, 0.5000, 0.5000], [0.3136, 0.2763, 0.4853]], "e_form_ev_per_atom": -0.1054, "crystal_system": "orthorhombic", "final_energy_ha_per_atom": -0.36862}

=====

17.
{"formula": "CaC2", "functional": "meta-GGA SCAN", "state": "single point on PBEsol structure", "cell": [[3.9431, 0.0000, -0.0127], [0.0000, 5.3890, 0.0000], [-1.3073, 0.0000, 8.7478]], "species": ["Ca", "Ca", "Ca", "C", "C", "C", "C", "C", "C", "C", "C", "Ca"], "fractional_positions": [[0.2497, 0.7497, 0.1251], [0.2497, 0.7503, 0.6251], [0.7503, 0.2503, 0.8749], [0.1660, 0.2505, 0.6801], [0.6651, 0.7499, 0.4302], [0.8340, 0.7505, 0.8199], [0.3349, 0.2501, 0.5698], [0.1660, 0.2495, 0.1801], [0.6651, 0.7501, 0.9302], [0.8340, 0.7495, 0.3199], [0.3349, 0.2499, 0.0698], [0.7503, 0.2497, 0.3749]], "e_form_ev_per_atom": -0.1100, "crystal_system": "monoclinic", "n_ef_per_ev_cell": 0.00, "final_energy_ha_per_atom": -0.36986}

=====

18.
{"formula": "CaC", "functional": "meta-GGA SCAN", "state": "single point on PBEsol structure", "cell": [[-0.0497, 2.3134, -2.0314], [-2.4386, 1.2106, 1.4383], [1.8794, 1.6322, 1.8127]], "species": ["Ca", "C"], "fractional_positions": [[0.5000, 0.5000, 0.5000], [0.0000, 0.0000, 0.0000]], "e_form_ev_per_atom": 1.0381, "crystal_system": "cubic", "n_ef_per_ev_cell": 1.07, "final_energy_ha_per_atom": -0.32499}

=====

19.
{"formula": "CaC2", "functional": "meta-GGA SCAN", "state": "single point on PBEsol structure", "cell": [[-2.9741, 2.1721, -0.1924], [-1.0143, -4.5589, -0.4431], [-0.5503, -0.3358, 4.7145]], "species": ["C", "Ca", "Ca", "C", "C", "C"], "fractional_positions": [[0.4383, 0.8767, 0.3965], [0.8544, 0.7087, 0.7500], [0.1456, 0.2913, 0.2500], [0.5617, 0.1233, 0.6035], [0.5617, 0.1233, 0.8965], [0.4383, 0.8767, 0.1035]], "e_form_ev_per_atom": -0.0474, "crystal_system": "orthorhombic", "n_ef_per_ev_cell": 0.98, "final_energy_ha_per_atom": -0.36756}

=====

20.
{"formula": "CaC2", "functional": "meta-GGA SCAN", "state": "single point on PBEsol structure", "cell": [[-0.1645, -4.2097, 0.7291], [2.4766, 1.5323, -3.1303], [5.1341, 0.5495, 4.3310]], "species": ["C", "C", "Ca"], "fractional_positions": [[0.0000, 0.0000, 0.4061], [0.0000, 0.0000, 0.5939], [0.3333, 0.6667, 0.5000]], "e_form_ev_per_atom": 0.4185, "crystal_system": "hexagonal", "n_ef_per_ev_cell": 0.00, "final_energy_ha_per_atom": -0.35044}

=====

21.
{"formula": "CaC", "functional": "meta-GGA SCAN", "state": "single point on PBEsol structure", "cell": [[4.2882, 0.0000, 0.0000], [2.1441, 3.7137, 0.0000], [2.1441, 1.2379, 4.3300]], "species": ["C", "C", "Ca", "Ca"], "fractional_positions": [[0.0514, 0.0514, 0.8457], [0.9486, 0.9486, 0.1543], [0.7532, 0.7532, 0.7405], [0.2468, 0.2468, 0.2595]], "e_form_ev_per_atom": -0.0547, "crystal_system": "trigonal", "n_ef_per_ev_cell": 0.96, "final_energy_ha_per_atom": -0.36515}

=====

22.
{"formula": "CaC", "functional": "meta-GGA SCAN", "state": "single point on PBEsol structure", "cell": [[2.9987, 0.0000, 0.0000], [-1.4994, 2.5970, 0.0000], [0.0000, 0.0000, 14.4284]], "species": ["Ca", "C", "C", "C", "Ca", "C", "Ca", "Ca"], "fractional_positions": [[0.6667, 0.3333, 0.8797], [0.0000, 0.0000, 0.7500], [0.6667, 0.3333, 0.2500], [0.0000, 0.0000, 0.2500], [0.3333, 0.6667, 0.3797], [0.3333, 0.6667, 0.7500], [0.6667, 0.3333, 0.6203], [0.3333, 0.6667, 0.1203]], "e_form_ev_per_atom": 0.9305, "crystal_system": "hexagonal", "n_ef_per_ev_cell": 4.37, "final_energy_ha_per_atom": -0.32895}

=====

23.
{"formula": "CaC2", "functional": "meta-GGA SCAN", "state": "single point on PBEsol structure", "cell": [[3.8243, 0.0000, 0.0000], [-1.9122, 3.7055, -0.0125], [0.0000, 1.9845, 3.2691]], "species": ["C", "Ca", "C"], "fractional_positions": [[0.4006, 0.8012, 0.5994], [0.0000, 0.0000, 0.0000], [0.5994, 0.1988, 0.4006]], "e_form_ev_per_atom": -0.1094, "crystal_system": "tetragonal", "n_ef_per_ev_cell": 0.00, "final_energy_ha_per_atom": -0.36983}

=====

24.
{"formula": "CaC2", "functional": "meta-GGA SCAN", "state": "single point on PBEsol structure", "cell": [[-1.2502, -1.4901, 1.9504], [2.5349, 0.9868, 0.4337], [-3.2552, 6.9469, 3.2209]], "species": ["Ca", "C", "C", "C", "C", "Ca"], "fractional_positions": [[0.0000, 0.0000, 0.2500], [0.3333, 0.6667, 0.0132], [0.6667, 0.3333, 0.5132], [0.3333, 0.6667, 0.4868], [0.6667, 0.3333, 0.9868], [0.0000, 0.0000, 0.7500]], "e_form_ev_per_atom": 0.7033, "crystal_system": "hexagonal", "n_ef_per_ev_cell": 1.24, "final_energy_ha_per_atom": -0.33997}

=====

25.
{"formula": "CaC2", "functional": "meta-GGA SCAN", "state": "single point on PBEsol structure", "cell": [[5.7779, 0.0000, 0.0000], [0.0000, 5.7779, 0.0000], [0.0000, 0.0000, 5.7779]], "species": ["C", "Ca", "C", "C", "Ca", "C", "C", "C", "C", "Ca", "C", "Ca"], "fractional_positions": [[0.5628, 0.5628, 0.5628], [0.5000, 0.0000, 0.5000], [0.4372, 0.4372, 0.4372], [0.9372, 0.0628, 0.5628], [0.0000, 0.5000, 0.5000], [0.5628, 0.9372, 0.0628], [0.9372, 0.4372, 0.0628], [0.0628, 0.5628, 0.9372], [0.0628, 0.9372, 0.4372], [0.0000, 0.0000, 0.0000], [0.4372, 0.0628, 0.9372], [0.5000, 0.5000, 0.0000]], "e_form_ev_per_atom": -0.0521, "crystal_system": "cubic", "n_ef_per_ev_cell": 0.00, "final_energy_ha_per_atom": -0.36773}

=====

26.
{"formula": "CaC2", "functional": "meta-GGA SCAN", "state": "single point on PBEsol structure", "cell": [[3.6888, 0.0000, 0.0000], [0.0000, 3.6888, 0.0000], [-1.8444, -1.8444, 5.3640]], "species": ["C", "Ca", "C", "C", "Ca", "C"], "fractional_positions": [[0.8114, 0.3114, 0.6228], [0.0000, 0.0000, 0.0000], [0.4386, 0.4386, 0.8772], [0.6886, 0.1886, 0.3772], [0.2500, 0.7500, 0.5000], [0.5614, 0.5614, 0.1228]], "e_form_ev_per_atom": 0.3675, "crystal_system": "tetragonal", "n_ef_per_ev_cell": 0.23, "final_energy_ha_per_atom": -0.35231}

=====

27.
{"formula": "Ca3CdC", "functional": "meta-GGA SCAN", "state": "single point on PBEsol structure", "cell": [[-0.4283, 5.0245, 0.2282], [-4.5986, -0.2985, -2.0603], [-2.0373, -0.3827, 4.6026]], "species": ["Ca", "C", "Cd", "Ca", "Ca"], "fractional_positions": [[0.0000, 0.5000, 0.0000], [0.0000, 0.0000, 0.0000], [0.5000, 0.5000, 0.5000], [0.0000, 0.0000, 0.5000], [0.5000, 0.0000, 0.0000]], "e_form_ev_per_atom": -0.0023, "crystal_system": "cubic", "n_ef_per_ev_cell": 6.28, "final_energy_ha_per_atom": -0.51093}

=====

28.
{"formula": "Ca2CdOsC", "functional": "meta-GGA SCAN", "state": "single point on PBEsol structure", "cell": [[5.0703, 0.0000, 0.0000], [0.0000, 5.3066, 0.0000], [0.0000, 0.0000, 5.3066]], "species": ["Ca", "Os", "Cd", "C", "Ca"], "fractional_positions": [[0.0000, 0.5000, 0.0000], [0.0000, 0.0000, 0.0000], [0.5000, 0.0000, 0.0000], [0.5000, 0.5000, 0.5000], [0.0000, 0.0000, 0.5000]], "e_form_ev_per_atom": 1.5001, "crystal_system": "tetragonal", "n_ef_per_ev_cell": 1.99, "final_energy_ha_per_atom": -0.91300}